No. 1
A relaxed structure of AlCoSb2Ir, computed with PBE-GGA.

Values from the calculation:
- formation energy from raw total energies (eV/atom) = 1.18
- polymorph energy (0 for the lowest one) (meV/atom) = 413
- final energy (eV per atom) = -4.409
- total moment (μB/f.u.) = 1.88
- Fermi-level density of states (states/eV/atom) = 0.86

a b c (Å): 5.158 5.158 4.509
angles (deg): 90.00 90.00 90.00
Atoms (fractional coordinates):
1 Al 0.000 0.000 0.000
2 Co 0.500 0.500 0.500
3 Sb 0.000 0.500 0.000
4 Sb 0.500 0.000 0.000
5 Ir 0.000 0.000 0.500


No. 2
A relaxed structure of Y5Te2Pb2, computed with PBE-GGA.

Values from the calculation:
- formation energy from raw total energies (eV/atom) = -0.88
- final energy (eV per atom) = -5.994
- total moment (μB/f.u.) = 0.00
- Fermi-level density of states (states/eV/atom) = 1.03

a b c (Å): 8.765 8.765 8.217
angles (deg): 90.00 90.00 55.53
Atoms (fractional coordinates):
1 Y 0.000 0.000 0.000
2 Y 0.027 0.700 0.661
3 Y 0.200 0.527 0.161
4 Y 0.300 0.973 0.661
5 Y 0.473 0.800 0.161
6 Y 0.500 0.500 0.500
7 Y 0.527 0.200 0.839
8 Y 0.700 0.027 0.339
9 Y 0.800 0.473 0.839
10 Y 0.973 0.300 0.339
11 Te 0.201 0.201 0.000
12 Te 0.299 0.299 0.500
13 Te 0.701 0.701 0.500
14 Te 0.799 0.799 0.000
15 Pb 0.142 0.858 0.360
16 Pb 0.358 0.642 0.860
17 Pb 0.642 0.358 0.140
18 Pb 0.858 0.142 0.640


No. 3
A relaxed structure of Ca3La2Pr6, computed with PBE-GGA.

Values from the calculation:
- energy relative to the elements (eV/atom) = 0.042
- final energy (eV per atom) = -4.007
- total moment (μB/f.u.) = 0.00
- Fermi-level density of states (states/eV/atom) = 1.77

a b c (Å): 34.159 34.159 34.159
angles (deg): 6.27 6.27 6.27
Atoms (fractional coordinates):
1 Ca 0.000 0.000 0.000
2 Ca 0.272 0.272 0.272
3 Ca 0.728 0.728 0.728
4 La 0.455 0.455 0.455
5 La 0.545 0.545 0.545
6 Pr 0.093 0.093 0.093
7 Pr 0.181 0.181 0.181
8 Pr 0.364 0.364 0.364
9 Pr 0.636 0.636 0.636
10 Pr 0.819 0.819 0.819
11 Pr 0.907 0.907 0.907


No. 4
A relaxed structure of CaCuTe2, computed with PBE-GGA.

Values from the calculation:
- formation energy from raw total energies (eV/atom) = -0.13
- final energy (eV per atom) = -3.226
- total moment (μB/f.u.) = 0.00
- Fermi-level density of states (states/eV/atom) = 0.77

a b c (Å): 3.916 3.916 27.382
angles (deg): 90.00 90.00 120.00
Atoms (fractional coordinates):
1 Ca 0.000 0.000 0.000
2 Ca 0.333 0.667 0.667
3 Ca 0.667 0.333 0.333
4 Cu 0.000 0.000 0.500
5 Cu 0.333 0.667 0.167
6 Cu 0.667 0.333 0.833
7 Te 0.000 0.000 0.111
8 Te 0.000 0.000 0.889
9 Te 0.333 0.667 0.555
10 Te 0.333 0.667 0.778
11 Te 0.667 0.333 0.222
12 Te 0.667 0.333 0.445


No. 5
A relaxed structure of Pr6Er12Th, computed with PBE-GGA.

Values from the calculation:
- energy relative to the elements (eV/atom) = 0.229
- final energy (eV per atom) = -4.553
- total moment (μB/f.u.) = 0.00
- Fermi-level density of states (states/eV/atom) = 1.67

a b c (Å): 8.742 8.742 8.742
angles (deg): 99.25 99.25 99.25
Atoms (fractional coordinates):
1 Pr 0.157 0.601 0.601
2 Pr 0.399 0.399 0.843
3 Pr 0.399 0.843 0.399
4 Pr 0.601 0.157 0.601
5 Pr 0.601 0.601 0.157
6 Pr 0.843 0.399 0.399
7 Er 0.000 0.254 0.746
8 Er 0.000 0.746 0.254
9 Er 0.150 0.150 0.422
10 Er 0.150 0.422 0.150
11 Er 0.254 0.000 0.746
12 Er 0.254 0.746 0.000
13 Er 0.422 0.150 0.150
14 Er 0.578 0.850 0.850
15 Er 0.746 0.000 0.254
16 Er 0.746 0.254 0.000
17 Er 0.850 0.578 0.850
18 Er 0.850 0.850 0.578
19 Th 0.500 0.500 0.500


No. 6
A relaxed structure of Te2AsW, computed with PBE-GGA.

Values from the calculation:
- formation energy from raw total energies (eV/atom) = 0.63
- final energy (eV per atom) = -5.344
- total moment (μB/f.u.) = 0.00
- Fermi-level density of states (states/eV/atom) = 0.65

a b c (Å): 8.712 3.475 6.078
angles (deg): 90.00 99.62 90.00
Atoms (fractional coordinates):
1 Te 0.225 0.000 0.217
2 Te 0.275 0.500 0.783
3 Te 0.725 0.500 0.217
4 Te 0.775 0.000 0.783
5 As 0.000 0.000 0.500
6 As 0.500 0.500 0.500
7 W 0.000 0.500 0.000
8 W 0.500 0.000 0.000


No. 7
A relaxed structure of Y2HRuRh, computed with PBE-GGA.

Values from the calculation:
- polymorph energy (0 for the lowest one) (meV/atom) = 36
- final energy (eV per atom) = -7.131
- total moment (μB/f.u.) = 0.00
- Fermi-level density of states (states/eV/atom) = 0.48

a b c (Å): 4.875 4.875 3.528
angles (deg): 90.00 90.00 90.00
Atoms (fractional coordinates):
1 Y 0.000 0.500 0.000
2 Y 0.500 0.000 0.000
3 H 0.000 0.000 0.000
4 Ru 0.500 0.500 0.500
5 Rh 0.000 0.000 0.500


No. 8
A relaxed structure of SmTlPd4, computed with PBE-GGA.

Values from the calculation:
- energy relative to the elements (eV/atom) = -0.588
- final energy (eV per atom) = -5.231
- total moment (μB/f.u.) = 0.00
- Fermi-level density of states (states/eV/atom) = 0.55

a b c (Å): 5.440 5.440 5.440
angles (deg): 60.00 60.00 60.00
Atoms (fractional coordinates):
1 Sm 0.000 0.000 0.000
2 Tl 0.750 0.750 0.750
3 Pd 0.375 0.375 0.375
4 Pd 0.375 0.375 0.874
5 Pd 0.375 0.874 0.375
6 Pd 0.874 0.375 0.375


No. 9
A relaxed structure of HfReBi2B, computed with PBE-GGA.

Values from the calculation:
- energy relative to the elements (eV/atom) = 1.034
- final energy (eV per atom) = -6.334
- total moment (μB/f.u.) = 0.49
- Fermi-level density of states (states/eV/atom) = 1.04

a b c (Å): 5.449 5.449 3.994
angles (deg): 90.00 90.00 90.00
Atoms (fractional coordinates):
1 Hf 0.000 0.000 0.000
2 Re 0.500 0.500 0.500
3 Bi 0.000 0.500 0.500
4 Bi 0.500 0.000 0.500
5 B 0.500 0.500 0.000


No. 10
A relaxed structure of TaCrCu2, computed with PBE-GGA.

Values from the calculation:
- energy relative to the elements (eV/atom) = 0.308
- polymorph energy (0 for the lowest one) (meV/atom) = 121
- final energy (eV per atom) = -7.109
- total moment (μB/f.u.) = 0.39
- Fermi-level density of states (states/eV/atom) = 0.75

a b c (Å): 2.685 2.685 7.513
angles (deg): 90.00 90.00 90.00
Atoms (fractional coordinates):
1 Ta 0.000 0.000 0.000
2 Cr 0.000 0.000 0.500
3 Cu 0.500 0.500 0.268
4 Cu 0.500 0.500 0.732


No. 11
A relaxed structure of TaMo3W, computed with PBE-GGA.

Values from the calculation:
- energy relative to the elements (eV/atom) = 0.365
- polymorph energy (0 for the lowest one) (meV/atom) = 0
- final energy (eV per atom) = -11.095
- total moment (μB/f.u.) = 0.00
- Fermi-level density of states (states/eV/atom) = 0.90

a b c (Å): 13.373 5.170 4.871
angles (deg): 90.00 90.00 90.00
Atoms (fractional coordinates):
1 Ta 0.250 0.000 0.138
2 Ta 0.250 0.500 0.362
3 Ta 0.750 0.000 0.862
4 Ta 0.750 0.500 0.638
5 Mo 0.052 0.250 0.250
6 Mo 0.144 0.501 0.818
7 Mo 0.144 0.999 0.682
8 Mo 0.356 0.001 0.682
9 Mo 0.356 0.499 0.818
10 Mo 0.448 0.750 0.250
11 Mo 0.552 0.250 0.750
12 Mo 0.644 0.501 0.182
13 Mo 0.644 0.999 0.318
14 Mo 0.856 0.001 0.318
15 Mo 0.856 0.499 0.182
16 Mo 0.948 0.750 0.750
17 W 0.054 0.750 0.250
18 W 0.446 0.250 0.250
19 W 0.554 0.750 0.750
20 W 0.946 0.250 0.750


No. 12
A relaxed structure of NaRuO2, computed with PBE-GGA.

Values from the calculation:
- formation energy from raw total energies (eV/atom) = -1.04
- final energy (eV per atom) = -6.167
- total moment (μB/f.u.) = 1.04
- Fermi-level density of states (states/eV/atom) = 0.11

a b c (Å): 5.092 3.211 5.779
angles (deg): 90.00 106.15 90.00
Atoms (fractional coordinates):
1 Na 0.000 0.000 0.000
2 Na 0.500 0.500 0.010
3 Ru 0.168 0.000 0.517
4 Ru 0.642 0.500 0.523
5 O 0.059 0.500 0.709
6 O 0.239 0.500 0.302
7 O 0.570 0.000 0.737
8 O 0.752 0.000 0.330


No. 13
A relaxed structure of Mn3BePt, computed with PBE-GGA.

Values from the calculation:
- energy relative to the elements (eV/atom) = 1.154
- polymorph energy (0 for the lowest one) (meV/atom) = 594
- final energy (eV per atom) = -6.301
- total moment (μB/f.u.) = 13.27
- Fermi-level density of states (states/eV/atom) = 0.73

a b c (Å): 4.847 4.847 4.847
angles (deg): 90.00 90.00 90.00
Atoms (fractional coordinates):
1 Mn 0.000 0.000 0.500
2 Mn 0.000 0.500 0.000
3 Mn 0.500 0.000 0.000
4 Be 0.500 0.500 0.500
5 Pt 0.000 0.000 0.000


No. 14
A relaxed structure of YAl2Os, computed with PBE-GGA.

Values from the calculation:
- energy relative to the elements (eV/atom) = 0.178
- final energy (eV per atom) = -6.117
- total moment (μB/f.u.) = 0.00
- Fermi-level density of states (states/eV/atom) = 0.70

a b c (Å): 4.680 4.680 16.926
angles (deg): 90.00 90.00 90.00
Atoms (fractional coordinates):
1 Y 0.000 0.000 0.000
2 Y 0.000 0.500 0.250
3 Y 0.500 0.000 0.750
4 Y 0.500 0.500 0.500
5 Al 0.080 0.250 0.625
6 Al 0.250 0.580 0.875
7 Al 0.250 0.920 0.375
8 Al 0.420 0.250 0.125
9 Al 0.580 0.750 0.125
10 Al 0.750 0.080 0.375
11 Al 0.750 0.420 0.875
12 Al 0.920 0.750 0.625
13 Os 0.000 0.000 0.500
14 Os 0.000 0.500 0.750
15 Os 0.500 0.000 0.250
16 Os 0.500 0.500 0.000


No. 15
A relaxed structure of Mn2SiPb, computed with PBE-GGA.

Values from the calculation:
- formation energy from raw total energies (eV/atom) = 0.41
- polymorph energy (0 for the lowest one) (meV/atom) = 200
- final energy (eV per atom) = -6.458
- total moment (μB/f.u.) = 6.84
- Fermi-level density of states (states/eV/atom) = 0.57

a b c (Å): 3.921 3.921 8.934
angles (deg): 90.00 90.00 90.00
Atoms (fractional coordinates):
1 Mn 0.000 0.000 0.000
2 Mn 0.000 0.500 0.250
3 Mn 0.500 0.000 0.750
4 Mn 0.500 0.500 0.500
5 Si 0.000 0.000 0.500
6 Si 0.500 0.500 0.000
7 Pb 0.000 0.500 0.750
8 Pb 0.500 0.000 0.250


No. 16
A relaxed structure of TlBi2Sb, computed with PBE-GGA.

Values from the calculation:
- formation energy from raw total energies (eV/atom) = 0.26
- polymorph energy (0 for the lowest one) (meV/atom) = 166
- final energy (eV per atom) = -3.302
- total moment (μB/f.u.) = 0.00
- Fermi-level density of states (states/eV/atom) = 0.90

a b c (Å): 6.981 6.981 14.815
angles (deg): 90.00 90.00 90.00
Atoms (fractional coordinates):
1 Tl 0.000 0.000 0.000
2 Tl 0.000 0.500 0.250
3 Tl 0.500 0.000 0.750
4 Tl 0.500 0.500 0.500
5 Bi 0.242 0.250 0.625
6 Bi 0.250 0.742 0.875
7 Bi 0.250 0.758 0.375
8 Bi 0.258 0.250 0.125
9 Bi 0.742 0.750 0.125
10 Bi 0.750 0.242 0.375
11 Bi 0.750 0.258 0.875
12 Bi 0.758 0.750 0.625
13 Sb 0.000 0.000 0.500
14 Sb 0.000 0.500 0.750
15 Sb 0.500 0.000 0.250
16 Sb 0.500 0.500 0.000


No. 17
A relaxed structure of RbGa6Au12, computed with PBE-GGA.

Values from the calculation:
- energy relative to the elements (eV/atom) = -0.147
- polymorph energy (0 for the lowest one) (meV/atom) = 0
- final energy (eV per atom) = -3.223
- total moment (μB/f.u.) = 0.00
- Fermi-level density of states (states/eV/atom) = 0.26

a b c (Å): 7.545 7.545 7.545
angles (deg): 104.04 104.04 104.04
Atoms (fractional coordinates):
1 Rb 0.000 0.000 0.000
2 Ga 0.272 0.272 0.693
3 Ga 0.272 0.693 0.272
4 Ga 0.307 0.728 0.728
5 Ga 0.693 0.272 0.272
6 Ga 0.728 0.307 0.728
7 Ga 0.728 0.728 0.307
8 Au 0.118 0.500 0.882
9 Au 0.118 0.882 0.500
10 Au 0.144 0.397 0.397
11 Au 0.397 0.144 0.397
12 Au 0.397 0.397 0.144
13 Au 0.500 0.118 0.882
14 Au 0.500 0.882 0.118
15 Au 0.603 0.603 0.856
16 Au 0.603 0.856 0.603
17 Au 0.856 0.603 0.603
18 Au 0.882 0.118 0.500
19 Au 0.882 0.500 0.118


No. 18
A relaxed structure of Hg2ClF, computed with PBE-GGA.

Values from the calculation:
- formation energy from raw total energies (eV/atom) = -0.57
- polymorph energy (0 for the lowest one) (meV/atom) = 114
- final energy (eV per atom) = -1.647
- total moment (μB/f.u.) = 0.00
- Fermi-level density of states (states/eV/atom) = 0.33

a b c (Å): 5.089 5.089 15.858
angles (deg): 90.00 90.00 90.00
Atoms (fractional coordinates):
1 Hg 0.152 0.250 0.125
2 Hg 0.250 0.652 0.375
3 Hg 0.250 0.848 0.875
4 Hg 0.348 0.250 0.625
5 Hg 0.652 0.750 0.625
6 Hg 0.750 0.152 0.875
7 Hg 0.750 0.348 0.375
8 Hg 0.848 0.750 0.125
9 Cl 0.000 0.000 0.500
10 Cl 0.000 0.500 0.750
11 Cl 0.500 0.000 0.250
12 Cl 0.500 0.500 0.000
13 F 0.000 0.000 0.000
14 F 0.000 0.500 0.250
15 F 0.500 0.000 0.750
16 F 0.500 0.500 0.500


No. 19
A relaxed structure of Ti11Be4Ga9, computed with PBE-GGA.

Values from the calculation:
- energy relative to the elements (eV/atom) = -0.351
- final energy (eV per atom) = -5.726
- total moment (μB/f.u.) = 0.00
- Fermi-level density of states (states/eV/atom) = 0.74

a b c (Å): 11.348 11.348 2.974
angles (deg): 90.00 90.00 113.55
Atoms (fractional coordinates):
1 Ti 0.000 0.000 0.000
2 Ti 0.052 0.406 0.000
3 Ti 0.156 0.844 0.000
4 Ti 0.311 0.311 0.000
5 Ti 0.377 0.623 0.000
6 Ti 0.406 0.052 0.000
7 Ti 0.594 0.948 0.000
8 Ti 0.623 0.377 0.000
9 Ti 0.689 0.689 0.000
10 Ti 0.844 0.156 0.000
11 Ti 0.948 0.594 0.000
12 Be 0.238 0.445 0.500
13 Be 0.445 0.238 0.500
14 Be 0.555 0.762 0.500
15 Be 0.762 0.555 0.500
16 Ga 0.079 0.222 0.500
17 Ga 0.166 0.626 0.500
18 Ga 0.222 0.079 0.500
19 Ga 0.374 0.834 0.500
20 Ga 0.500 0.500 0.500
21 Ga 0.626 0.166 0.500
22 Ga 0.778 0.921 0.500
23 Ga 0.834 0.374 0.500
24 Ga 0.921 0.778 0.500


No. 20
A relaxed structure of KCa2Pt2, computed with PBE-GGA.

Values from the calculation:
- energy relative to the elements (eV/atom) = -0.537
- final energy (eV per atom) = -3.973
- total moment (μB/f.u.) = 0.00
- Fermi-level density of states (states/eV/atom) = 0.62

a b c (Å): 4.973 4.973 11.508
angles (deg): 90.00 90.00 90.00
Atoms (fractional coordinates):
1 K 0.000 0.000 0.000
2 K 0.500 0.500 0.500
3 Ca 0.000 0.500 0.250
4 Ca 0.000 0.500 0.750
5 Ca 0.500 0.000 0.250
6 Ca 0.500 0.000 0.750
7 Pt 0.000 0.000 0.385
8 Pt 0.000 0.000 0.615
9 Pt 0.500 0.500 0.115
10 Pt 0.500 0.500 0.885